Here is crystalline Rb2Ti6O13 at its relaxed geometry from Alexandria via LeMat-Bulk. Energies are from PBE-GGA.

Uncorrected energy: -8.318 eV per atom
Mass density: 3.930 g cm⁻³
ΔE_f (raw): -2.901 eV/atom
N(E_F): 0.000 states/eV/atom

Unit cell a=16.1527 b=3.8443 c=9.2279 alpha=90.00 beta=100.79 gamma=90.00
Space group C2/m (No. 12)
One atom of each set of equivalent atoms:
Rb  0.0441  0.0000  0.2456 x4
Ti  0.1146  0.5000  0.5947 x4
Ti  0.1747  0.5000  0.9375 x4
Ti  0.2336  0.5000  0.2800 x4
O  0.0000  0.5000  0.5000 x2
O  0.0829  0.5000  0.7886 x4
O  0.1392  0.5000  0.1140 x4
O  0.1417  0.0000  0.6090 x4
O  0.1688  0.5000  0.4155 x4
O  0.2035  0.0000  0.9283 x4
O  0.2387  0.5000  0.7377 x4


Here is crystalline RbTiO at its relaxed geometry from Alexandria via LeMat-Bulk. Energies are from PBE-GGA.

Uncorrected energy: -5.517 eV per atom
Mass density: 2.539 g cm⁻³
ΔE_f (raw): -0.910 eV/atom
N(E_F): 0.727 states/eV/atom

Unit cell a=3.3264 b=7.8851 c=7.4487 alpha=90.00 beta=90.00 gamma=90.00
Space group Amm2 (No. 38)
One atom of each set of equivalent atoms:
Rb  0.0000  0.0000  0.0000 x2
Ti  0.0000  0.0000  0.4630 x2
O  0.5000  0.0000  0.3478 x2


Here is crystalline Rb2Ti3TlO8 at its relaxed geometry from Alexandria via LeMat-Bulk. Energies are from PBE-GGA.

Uncorrected energy: -7.143 eV per atom
Mass density: 4.787 g cm⁻³
ΔE_f (raw): -2.311 eV/atom
N(E_F): 0.112 states/eV/atom

Unit cell a=6.1633 b=6.1633 c=20.4663 alpha=90.00 beta=90.00 gamma=120.00
Space group R3m (No. 160, hexagonal axes)
One atom of each set of equivalent atoms:
Rb  0.0000  0.0000  0.0000 x3
Rb  0.0000  0.0000  0.3635 x3
Ti  0.0078  0.5039  0.8654 x9
Tl  0.0000  0.0000  0.7659 x3
O  0.0000  0.0000  0.1434 x3
O  0.0000  0.0000  0.5790 x3
O  0.0400  0.5200  0.1441 x9
O  0.1851  0.3703  0.9111 x9


Here is crystalline Rb3TiTl3O8 at its relaxed geometry from Alexandria via LeMat-Bulk. Energies are from PBE-GGA.

Uncorrected energy: -5.194 eV per atom
Mass density: 6.577 g cm⁻³
ΔE_f (raw): -1.356 eV/atom

Unit cell a=6.7904 b=6.7904 c=19.8253 alpha=90.00 beta=90.00 gamma=120.00
Space group R-3m (No. 166, hexagonal axes)
One atom of each set of equivalent atoms:
Rb  0.0000  0.5000  0.0000 x9
Ti  0.0000  0.0000  0.5000 x3
Tl  0.0000  0.5000  0.5000 x9
O  0.0000  0.0000  0.2258 x6
O  0.0422  0.5211  0.2227 x18


Here is crystalline RbTiTl2O6 at its relaxed geometry from Alexandria via LeMat-Bulk. Energies are from PBE-GGA.

Uncorrected energy: -5.692 eV per atom
Mass density: 5.269 g cm⁻³
ΔE_f (raw): -1.358 eV/atom
N(E_F): 0.632 states/eV/atom

Unit cell a=9.8320 b=13.0343 c=6.9160 alpha=90.00 beta=114.84 gamma=90.00
Space group C2/c (No. 15)
One atom of each set of equivalent atoms:
Rb  0.0000  0.1046  0.2500 x4
Ti  0.0000  0.1885  0.7500 x4
Tl  0.1280  0.4121  0.1407 x8
O  0.0799  0.2588  0.9977 x8
O  0.1147  0.4395  0.4616 x8
O  0.1342  0.0962  0.7214 x8


Here is crystalline RbTiTlO4 at its relaxed geometry from Alexandria via LeMat-Bulk. Energies are from PBE-GGA.

Uncorrected energy: -6.254 eV per atom
Mass density: 5.058 g cm⁻³
ΔE_f (raw): -1.816 eV/atom
N(E_F): 0.000 states/eV/atom

Unit cell a=5.9758 b=6.0844 c=7.6359 alpha=90.00 beta=108.19 gamma=90.00
Space group P2_1/m (No. 11)
One atom of each set of equivalent atoms:
Rb  0.2233  0.2500  0.4511 x2
Ti  0.2077  0.7500  0.1346 x2
Tl  0.3249  0.2500  0.9646 x2
O  0.0035  0.7500  0.2763 x2
O  0.0290  0.7500  0.9061 x2
O  0.4336  0.5201  0.1742 x4


- Which value of ΔE_f (raw) does entry 4 give?
  -1.356 eV/atom


- Among the records above, which one has the highest ΔE_f (raw)?
  RbTiO


Repeat the first record exactly.
Here is crystalline Rb2Ti6O13 at its relaxed geometry from Alexandria via LeMat-Bulk. Energies are from PBE-GGA.

Uncorrected energy: -8.318 eV per atom
Mass density: 3.930 g cm⁻³
ΔE_f (raw): -2.901 eV/atom
N(E_F): 0.000 states/eV/atom

Unit cell a=16.1527 b=3.8443 c=9.2279 alpha=90.00 beta=100.79 gamma=90.00
Space group C2/m (No. 12)
One atom of each set of equivalent atoms:
Rb  0.0441  0.0000  0.2456 x4
Ti  0.1146  0.5000  0.5947 x4
Ti  0.1747  0.5000  0.9375 x4
Ti  0.2336  0.5000  0.2800 x4
O  0.0000  0.5000  0.5000 x2
O  0.0829  0.5000  0.7886 x4
O  0.1392  0.5000  0.1140 x4
O  0.1417  0.0000  0.6090 x4
O  0.1688  0.5000  0.4155 x4
O  0.2035  0.0000  0.9283 x4
O  0.2387  0.5000  0.7377 x4